Record 1
Crystalline LuNiHgB at its relaxed geometry. Source: the Open Quantum Materials Database, functional PBE-GGA.

```
4
Lattice="0.0000 3.1461 3.1461 3.1461 0.0000 3.1461 3.1461 3.1461 0.0000" Properties=species:S:1:pos:R:3 pbc="T T T"
Lu 0.0000 0.0000 0.0000
Ni 4.7192 4.7192 4.7192
Hg 3.1461 3.1461 3.1461
B 1.5731 1.5731 1.5731
```

Energy above the most stable polymorph in this dataset in meV per atom: 0
Total DFT energy (no corrections) in eV per atom: -3.990
Total moment in μB per cell: 0.00
Calculated density in g cm⁻³: 11.9
V in Å³ per cell: 62.3



Record 2
Crystalline LuNiHgB at its relaxed geometry. Source: the Open Quantum Materials Database, functional PBE-GGA.

```
4
Lattice="0.0000 3.1774 3.1774 3.1774 0.0000 3.1774 3.1774 3.1774 0.0000" Properties=species:S:1:pos:R:3 pbc="T T T"
Lu 0.0000 0.0000 0.0000
Ni 4.7661 4.7661 4.7661
Hg 1.5887 1.5887 1.5887
B 3.1774 3.1774 3.1774
```

Energy above the most stable polymorph in this dataset in meV per atom: 252
Total DFT energy (no corrections) in eV per atom: -3.738
Total moment in μB per cell: 0.01
Calculated density in g cm⁻³: 11.5
V in Å³ per cell: 64.2



Record 3
Crystalline MgHgB2 at its relaxed geometry. Source: the Open Quantum Materials Database, functional PBE-GGA.

```
4
Lattice="0.0000 3.0573 3.0573 3.0573 0.0000 3.0573 3.0573 3.0573 0.0000" Properties=species:S:1:pos:R:3 pbc="T T T"
Mg 0.0000 0.0000 0.0000
Hg 1.5287 1.5287 1.5287
B 3.0573 3.0573 3.0573
B 4.5860 4.5860 4.5860
```

Total DFT energy (no corrections) in eV per atom: -2.350
Calculated density in g cm⁻³: 7.2
V in Å³ per cell: 57.2



Record 4
Crystalline MgHgB at its relaxed geometry. Source: the Open Quantum Materials Database, functional PBE-GGA.

```
3
Lattice="0.0000 2.8967 2.8967 2.8967 0.0000 2.8967 2.8967 2.8967 0.0000" Properties=species:S:1:pos:R:3 pbc="T T T"
Mg 0.0000 0.0000 0.0000
Hg 2.8967 2.8967 2.8967
B 4.3451 4.3451 4.3451
```

Energy above the most stable polymorph in this dataset in meV per atom: 0
Total DFT energy (no corrections) in eV per atom: -2.367
Calculated density in g cm⁻³: 8.1
V in Å³ per cell: 48.6



Record 5
Crystalline HgB2Mo at its relaxed geometry. Source: the Open Quantum Materials Database, functional PBE-GGA.

```
4
Lattice="0.0000 2.9995 2.9995 2.9995 0.0000 2.9995 2.9995 2.9995 0.0000" Properties=species:S:1:pos:R:3 pbc="T T T"
Hg 0.0000 0.0000 0.0000
B 1.4998 1.4998 1.4998
B 2.9995 2.9995 2.9995
Mo 4.4993 4.4993 4.4993
```

Total DFT energy (no corrections) in eV per atom: -4.198
Total moment in μB per cell: 0.00
Calculated density in g cm⁻³: 9.8
V in Å³ per cell: 54.0



Record 6
Crystalline HgBMo at its relaxed geometry. Source: the Open Quantum Materials Database, functional PBE-GGA.

```
3
Lattice="0.0000 2.8097 2.8097 2.8097 0.0000 2.8097 2.8097 2.8097 0.0000" Properties=species:S:1:pos:R:3 pbc="T T T"
Hg 0.0000 0.0000 0.0000
B 1.4049 1.4049 1.4049
Mo 2.8097 2.8097 2.8097
```

Total DFT energy (no corrections) in eV per atom: -5.117
Total moment in μB per cell: 0.00
Calculated density in g cm⁻³: 11.5
V in Å³ per cell: 44.4



Record 7
Crystalline NiHgBMo at its relaxed geometry. Source: the Open Quantum Materials Database, functional PBE-GGA.

```
4
Lattice="0.0000 3.0521 3.0521 3.0521 0.0000 3.0521 3.0521 3.0521 0.0000" Properties=species:S:1:pos:R:3 pbc="T T T"
Ni 0.0000 0.0000 0.0000
Hg 3.0521 3.0521 3.0521
B 4.5781 4.5781 4.5781
Mo 1.5260 1.5260 1.5260
```

Energy above the most stable polymorph in this dataset in meV per atom: 472
Total DFT energy (no corrections) in eV per atom: -4.555
Total moment in μB per cell: 1.45
Calculated density in g cm⁻³: 10.7
V in Å³ per cell: 56.9



Record 8
Crystalline NiHgBMo at its relaxed geometry. Source: the Open Quantum Materials Database, functional PBE-GGA.

```
4
Lattice="0.0000 2.9810 2.9810 2.9810 0.0000 2.9810 2.9810 2.9810 0.0000" Properties=species:S:1:pos:R:3 pbc="T T T"
Ni 0.0000 0.0000 0.0000
Hg 1.4905 1.4905 1.4905
B 2.9810 2.9810 2.9810
Mo 4.4714 4.4714 4.4714
```

Energy above the most stable polymorph in this dataset in meV per atom: 0
Total DFT energy (no corrections) in eV per atom: -5.027
Total moment in μB per cell: 0.07
Calculated density in g cm⁻³: 11.5
V in Å³ per cell: 53.0



Q: The highest total DFT energy (no corrections) belongs to which entry?
A: MgHgB2



Q: Which of these has the lowest V?
A: HgBMo



Copy entry 8 word for word.
Crystalline NiHgBMo at its relaxed geometry. Source: the Open Quantum Materials Database, functional PBE-GGA.

```
4
Lattice="0.0000 2.9810 2.9810 2.9810 0.0000 2.9810 2.9810 2.9810 0.0000" Properties=species:S:1:pos:R:3 pbc="T T T"
Ni 0.0000 0.0000 0.0000
Hg 1.4905 1.4905 1.4905
B 2.9810 2.9810 2.9810
Mo 4.4714 4.4714 4.4714
```

Energy above the most stable polymorph in this dataset in meV per atom: 0
Total DFT energy (no corrections) in eV per atom: -5.027
Total moment in μB per cell: 0.07
Calculated density in g cm⁻³: 11.5
V in Å³ per cell: 53.0



Q: calculated density of number 5 (HgB2Mo)?
A: 9.8 g cm⁻³